1.
DFT (PBE-GGA) results for crystalline NdHoAgHg at its relaxed geometry.

Properties
- space-group type = No. 99
- density of states at the Fermi level (states/eV per cell) = 3.769
- formation enthalpy at 0 K (meV per atom) = -383
- M_tot (μB per cell) = 0.18
- excess energy over the best structure of this formula in the dataset (eV per atom) = 0.000
- final energy (eV/cell) = -14.030

a = 3.7073 Å, b = 3.7073 Å, c = 7.5435 Å
α = 90.00°, β = 90.00°, γ = 90.00°
Closest atoms and distances in Å follow each position.
Fractional coordinates of all 4 atoms:
Nd 0.0000 0.0000 0.0000  4 Ag 3.31, 4 Hg 3.33, 1 Ho 3.69
Ho 0.0000 0.0000 0.4889  4 Ag 3.11, 4 Hg 3.19
Ag 0.5000 0.5000 0.2671  4 Ho 3.11, 4 Nd 3.31, 1 Hg 3.48
Hg 0.5000 0.5000 0.7288  4 Ho 3.19, 4 Nd 3.33, 1 Ag 3.48



2.
DFT (PBE-GGA) results for crystalline HoNiAgHg at its relaxed geometry.

Properties
- space-group type = No. 216
- density of states at the Fermi level (states/eV per cell) = 2.616
- formation enthalpy at 0 K (meV per atom) = -189
- M_tot (μB per cell) = 0.00
- final energy (eV/cell) = -14.267

a = 4.7730 Å, b = 4.7730 Å, c = 4.7730 Å
α = 60.00°, β = 60.00°, γ = 60.00°
Closest atoms and distances in Å follow each position.
Fractional coordinates of all 4 atoms:
Ho 0.0000 0.0000 0.0000  4 Ni 2.92, 4 Ag 2.92
Ni 0.2500 0.2500 0.2500  4 Hg 2.92, 4 Ho 2.92
Ag 0.7500 0.7500 0.7500  4 Hg 2.92, 4 Ho 2.92
Hg 0.5000 0.5000 0.5000  4 Ni 2.92, 4 Ag 2.92



3.
DFT (PBE-GGA) results for crystalline Ho4Ag2HgOs at its relaxed geometry.

Properties
- space-group type = No. 166
- density of states at the Fermi level (states/eV per cell) = 4.851
- formation enthalpy at 0 K (meV per atom) = -375
- M_tot (μB per cell) = 0.00
- final energy (eV/cell) = -38.546

a = 8.7311 Å, b = 8.7311 Å, c = 8.7311 Å
α = 33.74°, β = 33.74°, γ = 33.74°
Closest atoms and distances in Å follow each position.
Fractional coordinates of all 8 atoms:
Ho 0.1161 0.1161 0.1161  1 Os 2.86, 4 Ag 3.01-3.19, 3 Hg 3.18
Ho 0.3679 0.3679 0.3679  4 Ag 3.03-3.21, 3 Os 3.05, 1 Hg 3.26, 3 Ho 3.39
Ho 0.6321 0.6321 0.6321  4 Ag 3.03-3.21, 3 Os 3.05, 1 Hg 3.26, 3 Ho 3.39
Ho 0.8839 0.8839 0.8839  1 Os 2.86, 4 Ag 3.01-3.19, 3 Hg 3.18
Ag 0.2452 0.2452 0.2452  8 Ho 3.01-3.21
Ag 0.7548 0.7548 0.7548  8 Ho 3.01-3.21
Hg 0.5000 0.5000 0.5000  8 Ho 3.18-3.26, 6 Ag 3.51
Os 0.0000 0.0000 0.0000  8 Ho 2.86-3.05



4.
DFT (PBE-GGA) results for crystalline HoPaAgHg at its relaxed geometry.

Properties
- space-group type = No. 216
- density of states at the Fermi level (states/eV per cell) = 9.004
- formation enthalpy at 0 K (meV per atom) = 42
- M_tot (μB per cell) = 1.69
- final energy (eV/cell) = -17.058

a = 5.2033 Å, b = 5.2033 Å, c = 5.2033 Å
α = 60.00°, β = 60.00°, γ = 60.00°
Closest atoms and distances in Å follow each position.
Fractional coordinates of all 4 atoms:
Ho 0.0000 0.0000 0.0000  4 Hg 3.19, 4 Ag 3.19
Pa 0.5000 0.5000 0.5000  4 Hg 3.19, 4 Ag 3.19
Ag 0.2500 0.2500 0.2500  4 Pa 3.19, 4 Ho 3.19
Hg 0.7500 0.7500 0.7500  4 Pa 3.19, 4 Ho 3.19



5.
DFT (PBE-GGA) results for crystalline HoAgHgPd at its relaxed geometry.

Properties
- space-group type = No. 216
- density of states at the Fermi level (states/eV per cell) = 2.159
- formation enthalpy at 0 K (meV per atom) = -455
- M_tot (μB per cell) = 0.00
- final energy (eV/cell) = -14.742

a = 4.8602 Å, b = 4.8602 Å, c = 4.8602 Å
α = 60.00°, β = 60.00°, γ = 60.00°
Closest atoms and distances in Å follow each position.
Fractional coordinates of all 4 atoms:
Ho 0.0000 0.0000 0.0000  4 Pd 2.98, 4 Ag 2.98
Ag 0.2500 0.2500 0.2500  4 Hg 2.98, 4 Ho 2.98
Hg 0.5000 0.5000 0.5000  4 Pd 2.98, 4 Ag 2.98
Pd 0.7500 0.7500 0.7500  4 Hg 2.98, 4 Ho 2.98



6.
DFT (PBE-GGA) results for crystalline Ho4AgHg2Pd at its relaxed geometry.

Properties
- space-group type = No. 166
- density of states at the Fermi level (states/eV per cell) = 6.973
- formation enthalpy at 0 K (meV per atom) = -534
- M_tot (μB per cell) = 0.00
- final energy (eV/cell) = -31.231

a = 8.8642 Å, b = 8.8642 Å, c = 8.8642 Å
α = 33.75°, β = 33.75°, γ = 33.75°
Closest atoms and distances in Å follow each position.
Fractional coordinates of all 8 atoms:
Ho 0.1206 0.1206 0.1206  1 Pd 3.02, 4 Hg 3.08-3.13, 3 Ag 3.19
Ho 0.3716 0.3716 0.3716  3 Pd 3.12, 4 Hg 3.16-3.22, 1 Ag 3.22
Ho 0.6284 0.6284 0.6284  3 Pd 3.12, 4 Hg 3.16-3.22, 1 Ag 3.22
Ho 0.8794 0.8794 0.8794  1 Pd 3.02, 4 Hg 3.08-3.13, 3 Ag 3.19
Ag 0.5000 0.5000 0.5000  8 Ho 3.19-3.22, 6 Hg 3.57
Hg 0.2453 0.2453 0.2453  8 Ho 3.08-3.22
Hg 0.7547 0.7547 0.7547  8 Ho 3.08-3.22
Pd 0.0000 0.0000 0.0000  8 Ho 3.02-3.12



7.
DFT (PBE-GGA) results for crystalline Ho4Ag2HgPd at its relaxed geometry.

Properties
- space-group type = No. 166
- density of states at the Fermi level (states/eV per cell) = 3.742
- formation enthalpy at 0 K (meV per atom) = -516
- M_tot (μB per cell) = 0.00
- final energy (eV/cell) = -33.637

a = 8.8205 Å, b = 8.8205 Å, c = 8.8205 Å
α = 33.65°, β = 33.65°, γ = 33.65°
Closest atoms and distances in Å follow each position.
Fractional coordinates of all 8 atoms:
Ho 0.1202 0.1202 0.1202  1 Pd 3.00, 4 Ag 3.06-3.15, 3 Hg 3.17
Ho 0.3712 0.3712 0.3712  3 Pd 3.10, 4 Ag 3.11-3.19, 1 Hg 3.21
Ho 0.6288 0.6288 0.6288  3 Pd 3.10, 4 Ag 3.11-3.19, 1 Hg 3.21
Ho 0.8798 0.8798 0.8798  1 Pd 3.00, 4 Ag 3.06-3.15, 3 Hg 3.17
Ag 0.2466 0.2466 0.2466  8 Ho 3.06-3.19
Ag 0.7534 0.7534 0.7534  8 Ho 3.06-3.19
Hg 0.5000 0.5000 0.5000  8 Ho 3.17-3.21
Pd 0.0000 0.0000 0.0000  8 Ho 3.00-3.10



8.
DFT (PBE-GGA) results for crystalline PmHoAgHg at its relaxed geometry.

Properties
- space-group type = No. 99
- density of states at the Fermi level (states/eV per cell) = 3.606
- formation enthalpy at 0 K (meV per atom) = -387
- M_tot (μB per cell) = 0.11
- final energy (eV/cell) = -14.030

a = 3.6986 Å, b = 3.6986 Å, c = 7.5016 Å
α = 90.00°, β = 90.00°, γ = 90.00°
Closest atoms and distances in Å follow each position.
Fractional coordinates of all 4 atoms:
Pm 0.0000 0.0000 0.0000  4 Ag 3.28, 4 Hg 3.30
Ho 0.0000 0.0000 0.5109  4 Ag 3.12, 4 Hg 3.19
Ag 0.5000 0.5000 0.7370  4 Ho 3.12, 4 Pm 3.28
Hg 0.5000 0.5000 0.2678  4 Ho 3.19, 4 Pm 3.30, 1 Ag 3.52



9.
DFT (PBE-GGA) results for crystalline PmHo2AgHg4 at its relaxed geometry.

Properties
- space-group type = No. 166
- density of states at the Fermi level (states/eV per cell) = 6.045
- formation enthalpy at 0 K (meV per atom) = -379
- M_tot (μB per cell) = 0.00
- final energy (eV/cell) = -20.997

a = 9.3799 Å, b = 9.3799 Å, c = 9.3799 Å
α = 31.38°, β = 31.38°, γ = 31.38°
Closest atoms and distances in Å follow each position.
Fractional coordinates of all 8 atoms:
Pm 0.0000 0.0000 0.0000  8 Hg 3.18-3.34
Ho 0.2397 0.2397 0.2397  7 Hg 3.05-3.19
Ho 0.7603 0.7603 0.7603  7 Hg 3.05-3.19
Ag 0.5000 0.5000 0.5000  8 Hg 3.14-3.22
Hg 0.1249 0.1249 0.1249  4 Ho 3.05-3.07, 3 Ag 3.14, 1 Pm 3.34
Hg 0.3797 0.3797 0.3797  3 Pm 3.18, 3 Ho 3.19, 1 Ag 3.22
Hg 0.6203 0.6203 0.6203  3 Pm 3.18, 3 Ho 3.19, 1 Ag 3.22
Hg 0.8751 0.8751 0.8751  4 Ho 3.05-3.07, 3 Ag 3.14, 1 Pm 3.34



10.
DFT (PBE-GGA) results for crystalline PmHoAgHg at its relaxed geometry.

Properties
- space-group type = No. 216
- density of states at the Fermi level (states/eV per cell) = 3.106
- formation enthalpy at 0 K (meV per atom) = -386
- M_tot (μB per cell) = 0.00
- final energy (eV/cell) = -14.025

a = 5.2579 Å, b = 5.2579 Å, c = 5.2579 Å
α = 60.00°, β = 60.00°, γ = 60.00°
Closest atoms and distances in Å follow each position.
Fractional coordinates of all 4 atoms:
Pm 0.0000 0.0000 0.0000  4 Hg 3.22, 4 Ag 3.22
Ho 0.5000 0.5000 0.5000  4 Ag 3.22, 4 Hg 3.22
Ag 0.7500 0.7500 0.7500  4 Ho 3.22, 4 Pm 3.22
Hg 0.2500 0.2500 0.2500  4 Ho 3.22, 4 Pm 3.22



11.
DFT (PBE-GGA) results for crystalline PrHo2AgHg4 at its relaxed geometry.

Properties
- space-group type = No. 166
- density of states at the Fermi level (states/eV per cell) = 6.376
- formation enthalpy at 0 K (meV per atom) = -373
- M_tot (μB per cell) = 0.00
- final energy (eV/cell) = -20.979

a = 9.5115 Å, b = 9.5115 Å, c = 9.5115 Å
α = 30.94°, β = 30.94°, γ = 30.94°
Closest atoms and distances in Å follow each position.
Fractional coordinates of all 8 atoms:
Pr 0.0000 0.0000 0.0000  8 Hg 3.22-3.41
Ho 0.2386 0.2386 0.2386  7 Hg 3.05-3.18
Ho 0.7614 0.7614 0.7614  7 Hg 3.05-3.18
Ag 0.5000 0.5000 0.5000  8 Hg 3.14-3.20
Hg 0.1255 0.1255 0.1255  4 Ho 3.05-3.07, 3 Ag 3.14, 1 Pr 3.41
Hg 0.3821 0.3821 0.3821  3 Ho 3.18, 1 Ag 3.20, 3 Pr 3.22
Hg 0.6179 0.6179 0.6179  3 Ho 3.18, 1 Ag 3.20, 3 Pr 3.22
Hg 0.8745 0.8745 0.8745  4 Ho 3.05-3.07, 3 Ag 3.14, 1 Pr 3.41



12.
DFT (PBE-GGA) results for crystalline Ho2AgHgRh at its relaxed geometry.

Properties
- space-group type = No. 11
- density of states at the Fermi level (states/eV per cell) = 6.453
- formation enthalpy at 0 K (meV per atom) = -511
- M_tot (μB per cell) = 0.00
- final energy (eV/cell) = -44.427

a = 7.7278 Å, b = 4.0280 Å, c = 8.0881 Å
α = 90.00°, β = 112.43°, γ = 90.00°
Closest atoms and distances in Å follow each position.
Fractional coordinates of all 10 atoms:
Ho 0.0022 0.2500 0.2095  3 Rh 2.81-2.97, 2 Hg 3.13
Ho 0.3524 0.7500 0.6206  2 Rh 2.79
Ho 0.6476 0.2500 0.3794  2 Rh 2.79
Ho 0.9978 0.7500 0.7905  3 Rh 2.81-2.97, 2 Hg 3.13
Ag 0.3524 0.2500 0.9495  1 Rh 2.76, 2 Ag 2.92, 2 Hg 2.98
Ag 0.6476 0.7500 0.0505  1 Rh 2.76, 2 Ag 2.92, 2 Hg 2.98
Hg 0.3104 0.7500 0.2040  3 Ag 2.98-3.29, 6 Ho 3.13-3.30
Hg 0.6896 0.2500 0.7960  3 Ag 2.98-3.29, 6 Ho 3.13-3.30
Rh 0.0964 0.2500 0.6012  2 Rh 2.66, 1 Ag 2.76, 5 Ho 2.79-2.97
Rh 0.9036 0.7500 0.3988  2 Rh 2.66, 1 Ag 2.76, 5 Ho 2.79-2.97



13.
DFT (PBE-GGA) results for crystalline HoSc2AgHg4 at its relaxed geometry.

Properties
- space-group type = No. 166
- density of states at the Fermi level (states/eV per cell) = 6.415
- formation enthalpy at 0 K (meV per atom) = -327
- M_tot (μB per cell) = 0.00
- final energy (eV/cell) = -23.915

a = 8.8459 Å, b = 8.8459 Å, c = 8.8459 Å
α = 32.58°, β = 32.58°, γ = 32.58°
Closest atoms and distances in Å follow each position.
Fractional coordinates of all 8 atoms:
Ho 0.0000 0.0000 0.0000  8 Hg 3.07-3.12
Sc 0.2428 0.2428 0.2428  7 Hg 2.98-3.10
Sc 0.7572 0.7572 0.7572  7 Hg 2.98-3.10
Ag 0.5000 0.5000 0.5000  8 Hg 3.06-3.08
Hg 0.1242 0.1242 0.1242  4 Sc 2.98-2.99, 3 Ag 3.06, 1 Ho 3.12
Hg 0.3773 0.3773 0.3773  3 Ho 3.07, 1 Ag 3.08, 4 Sc 3.10-3.38
Hg 0.6227 0.6227 0.6227  3 Ho 3.07, 1 Ag 3.08, 4 Sc 3.10-3.38
Hg 0.8758 0.8758 0.8758  4 Sc 2.98-2.99, 3 Ag 3.06, 1 Ho 3.12